# CoBi2SeO6

CoBi2SeO6 after structural relaxation (PBE+U, OQMD).

Computed properties:
Final energy, eV/f.u.: -55.46
Total magnetization, μB per cell: 6.00

Cell: 5.4864 5.8282 9.5444 Å, 90.00 124.67 90.00°
Positions (direct):
Co: 0.0000 0.0000 0.0000
Co: 0.0000 0.5000 0.5000
Bi: 0.2393 0.0575 0.7524
Bi: 0.2393 0.4425 0.2524
Bi: 0.7607 0.5575 0.7476
Bi: 0.7607 0.9425 0.2476
Se: 0.5000 0.0000 0.5000
Se: 0.5000 0.5000 0.0000
O: 0.1392 0.1904 0.4486
O: 0.1392 0.3096 0.9486
O: 0.2732 0.6960 0.4515
O: 0.2732 0.8040 0.9515
O: 0.3587 0.0340 0.2493
O: 0.3587 0.4660 0.7493
O: 0.6413 0.5340 0.2507
O: 0.6413 0.9660 0.7507
O: 0.7268 0.1960 0.0485
O: 0.7268 0.3040 0.5485
O: 0.8608 0.6904 0.0514
O: 0.8608 0.8096 0.5514